{"formula": "BaCd2Ni", "functional": "PBE-GGA", "state": "relaxed", "lattice": [[0.0000, 3.6776, 3.6776], [3.6776, 0.0000, 3.6776], [3.6776, 3.6776, 0.0000]], "species": ["Ba", "Cd", "Cd", "Ni"], "frac_coords": [[0.0000, 0.0000, 0.0000], [0.2500, 0.2500, 0.2500], [0.5000, 0.5000, 0.5000], [0.7500, 0.7500, 0.7500]], "rho_kg_m3": 7025, "energy_ev_per_atom": -2.21}

***

{"formula": "BaCdNiSe3", "functional": "PBE-GGA", "state": "relaxed", "lattice": [[2.0973, -6.7546, 0.0000], [2.0973, 6.7546, 0.0000], [0.0000, 0.0000, 10.8085]], "species": ["Ba", "Ba", "Cd", "Cd", "Ni", "Ni", "Se", "Se", "Se", "Se", "Se", "Se"], "frac_coords": [[0.2479, 0.7521, 0.7500], [0.7521, 0.2479, 0.2500], [0.5000, 0.5000, 0.0000], [0.5000, 0.5000, 0.5000], [0.0339, 0.9661, 0.2500], [0.9661, 0.0339, 0.7500], [0.1347, 0.8653, 0.0644], [0.1347, 0.8653, 0.4356], [0.4444, 0.5556, 0.2500], [0.5556, 0.4444, 0.7500], [0.8653, 0.1347, 0.5644], [0.8653, 0.1347, 0.9356]], "rho_kg_m3": 5914, "relative_energy_ev_per_atom": 0.000}